(1)
# BaIn4As

An optimized crystal structure of BaIn4As (GGA-PBEsol, Alexandria via LeMat-Bulk).

Cell: 6.168 6.168 6.168 Å, 60.00 60.00 60.00°
Sites, in units of the cell vectors:
In 0.376 0.376 0.872
As 0.750 0.750 0.750
In 0.376 0.872 0.376
In 0.376 0.376 0.376
In 0.872 0.376 0.376
Ba 0.000 0.000 0.000

## Properties
calculated volume: 165.9 Å³/f.u.
energy of formation: -7.4 kJ/mol of atoms
D(E_F): 4.69 states/eV/cell
electronic total energy: -3.274 eV per atom
magnetization: 0.00 μB/f.u.

(2)
# CaTaCdSe2

An optimized crystal structure of CaTaCdSe2 (GGA-PBEsol, Alexandria via LeMat-Bulk).

Cell: 5.197 5.197 5.195 Å, 90.00 90.00 90.00°
Last column: magnetic moment on the atom in μB.
Sites, in units of the cell vectors:
Ta 0.500 0.500 0.500  2.07
Se 0.500 0.000 0.000  -0.11
Cd 0.000 0.000 0.500  0.00
Se 0.000 0.500 0.000  -0.11
Ca 0.000 0.000 0.000  0.00

## Properties
calculated volume: 140.3 Å³/f.u.
D(E_F): 5.06 states/eV/cell
electronic total energy: -3.740 eV per atom
formation energy (no corrections): 976 meV per atom
magnetization: 2.97 μB/f.u.